a:
DFT (PBE-GGA) results for a relaxed structure of ZrTlTeN2.

Output
Magnetic moment: 0.683 μB per formula unit
DOS(E_F): 0.749 states/eV/atom
Mass density: 6.7 Mg/m³

abc: 4.2750 4.2750 6.0782
angles: 90.00 90.00 90.00
Closest atoms and distances in Å follow each position.
Sites, in units of the cell vectors:
Tl  0.5000  0.5000  0.5000  4 Te 3.02
Te  0.0000  0.0000  0.5000  4 Tl 3.02, 2 Zr 3.04
Zr  0.0000  0.0000  0.0000  4 N 2.14
N  0.0000  0.5000  0.0000  2 Zr 2.14
N  0.5000  0.0000  0.0000  2 Zr 2.14

---

b:
DFT (PBE-GGA) results for a relaxed structure of ZrTlTeN2.

Output
Magnetic moment: 0.000 μB per formula unit
DOS(E_F): 0.821 states/eV/atom
Mass density: 7.1 Mg/m³

abc: 4.2527 4.2527 5.8373
angles: 90.00 90.00 90.00
Closest atoms and distances in Å follow each position.
Sites, in units of the cell vectors:
Tl  0.0000  0.0000  0.0000  4 N 2.13
Te  0.0000  0.0000  0.5000  2 Tl 2.92, 4 Zr 3.01
Zr  0.5000  0.5000  0.5000  4 Te 3.01
N  0.0000  0.5000  0.0000  2 Tl 2.13
N  0.5000  0.0000  0.0000  2 Tl 2.13

---

Verdict on stability: b comes out at the bottom.

---

a:
DFT (PBE-GGA) results for a relaxed structure of U2Te2N.

Output
Magnetic moment: 4.849 μB per formula unit
DOS(E_F): 1.502 states/eV/atom
Mass density: 10.0 Mg/m³

abc: 5.9321 7.6150 7.6150
angles: 52.92 67.08 67.08
Closest atoms and distances in Å follow each position.
Sites, in units of the cell vectors:
U  0.0949  0.5898  0.2204  2 N 2.26
U  0.9051  0.4102  0.7796  2 N 2.26
U  0.4051  0.7796  0.4102  2 N 2.26
U  0.5949  0.2204  0.5898  2 N 2.26
Te  0.3521  0.3083  0.9876  5 U 3.16-3.29, 2 N 3.29
Te  0.6479  0.6917  0.0124  5 U 3.16-3.29, 2 N 3.29
Te  0.1479  0.0124  0.6917  5 U 3.16-3.29, 2 N 3.29
Te  0.8521  0.9876  0.3083  5 U 3.16-3.29, 2 N 3.29
N  0.2500  0.5000  0.5000  4 U 2.26
N  0.7500  0.5000  0.5000  4 U 2.26

---

b:
DFT (PBE-GGA) results for a relaxed structure of U2Te2N.

Output
Magnetic moment: 5.090 μB per formula unit
DOS(E_F): 2.348 states/eV/atom
Mass density: 8.4 Mg/m³

abc: 3.1447 3.1447 14.8487
angles: 90.00 90.00 90.00
Closest atoms and distances in Å follow each position.
Sites, in units of the cell vectors:
U  0.5000  0.5000  0.1339  1 N 1.99
U  0.5000  0.5000  0.8661  1 N 1.99
Te  0.5000  0.5000  0.6537  4 Te 3.14, 1 U 3.15
Te  0.5000  0.5000  0.3463  4 Te 3.14, 1 U 3.15
N  0.5000  0.5000  0.0000  2 U 1.99

---

Verdict on stability: b comes out at the bottom.

---

a:
DFT (PBE-GGA) results for a relaxed structure of U2TeN.

Output
Magnetic moment: 4.791 μB per formula unit
DOS(E_F): 2.134 states/eV/atom
Mass density: 12.3 Mg/m³

abc: 3.7323 3.7323 7.2276
angles: 75.04 75.04 60.00
Closest atoms and distances in Å follow each position.
Sites, in units of the cell vectors:
Te  0.0000  0.0000  0.0000  6 U 3.12
U  0.7755  0.7755  0.6736  3 N 2.47
U  0.2245  0.2245  0.3264  3 N 2.47
N  0.5000  0.5000  0.5000  6 U 2.47

---

b:
DFT (PBE-GGA) results for a relaxed structure of U2TeN.

Output
Magnetic moment: 0.891 μB per formula unit
DOS(E_F): 1.807 states/eV/atom
Mass density: 13.5 Mg/m³

abc: 3.3298 3.3298 6.8561
angles: 90.00 90.00 90.00
Closest atoms and distances in Å follow each position.
Sites, in units of the cell vectors:
Te  0.5000  0.5000  0.5000  8 U 3.24, 4 Te 3.33, 2 N 3.43
U  0.0000  0.0000  0.8250  1 U 2.40, 4 N 2.64
U  0.0000  0.0000  0.1750  1 U 2.40, 4 N 2.64
N  0.5000  0.5000  0.0000  8 U 2.64

---

Verdict on stability: b comes out at the bottom.

---

a:
DFT (PBE-GGA) results for a relaxed structure of VTe3N.

Output
Magnetic moment: 2.632 μB per formula unit
DOS(E_F): 0.627 states/eV/atom
Mass density: 7.0 Mg/m³

abc: 4.7417 4.7417 4.7417
angles: 90.00 90.00 90.00
Closest atoms and distances in Å follow each position.
Sites, in units of the cell vectors:
V  0.5000  0.5000  0.5000  12 Te 3.35
Te  0.0000  0.5000  0.0000  2 N 2.37
Te  0.0000  0.0000  0.5000  2 N 2.37
Te  0.5000  0.0000  0.0000  2 N 2.37
N  0.0000  0.0000  0.0000  6 Te 2.37

---

b:
DFT (PBE-GGA) results for a relaxed structure of VTe3N.

Output
Magnetic moment: 2.581 μB per formula unit
DOS(E_F): 0.602 states/eV/atom
Mass density: 5.3 Mg/m³

abc: 5.2054 5.2054 5.2054
angles: 90.00 90.00 90.00
Closest atoms and distances in Å follow each position.
Sites, in units of the cell vectors:
V  0.0000  0.0000  0.0000  6 Te 2.60
Te  0.0000  0.5000  0.0000  2 V 2.60
Te  0.0000  0.0000  0.5000  2 V 2.60
Te  0.5000  0.0000  0.0000  2 V 2.60
N  0.5000  0.5000  0.5000  12 Te 3.68

---

Verdict on stability: b comes out at the bottom.

---

a:
DFT (PBE-GGA) results for a relaxed structure of V3TeN.

Output
Magnetic moment: 0.000 μB per formula unit
DOS(E_F): 0.794 states/eV/atom
Mass density: 7.5 Mg/m³

abc: 4.0332 4.0332 4.0332
angles: 90.00 90.00 90.00
Closest atoms and distances in Å follow each position.
Sites, in units of the cell vectors:
V  0.0000  0.5000  0.0000  2 N 2.02
V  0.0000  0.0000  0.5000  2 N 2.02
V  0.5000  0.0000  0.0000  2 N 2.02
Te  0.5000  0.5000  0.5000  12 V 2.85
N  0.0000  0.0000  0.0000  6 V 2.02

---

b:
DFT (PBE-GGA) results for a relaxed structure of V3TeN.

Output
Magnetic moment: 9.837 μB per formula unit
DOS(E_F): 1.492 states/eV/atom
Mass density: 3.6 Mg/m³

abc: 5.1404 5.1404 5.1404
angles: 90.00 90.00 90.00
Closest atoms and distances in Å follow each position.
Sites, in units of the cell vectors:
V  0.0000  0.5000  0.0000  2 Te 2.57
V  0.0000  0.0000  0.5000  2 Te 2.57
V  0.5000  0.0000  0.0000  2 Te 2.57
Te  0.0000  0.0000  0.0000  6 V 2.57
N  0.5000  0.5000  0.5000  12 V 3.63

---

Verdict on stability: b comes out at the bottom.

---

a:
DFT (PBE-GGA) results for a relaxed structure of YVTe2N.

Output
Magnetic moment: 0.946 μB per formula unit
DOS(E_F): 0.453 states/eV/atom
Mass density: 6.1 Mg/m³

abc: 5.4590 5.4590 3.7280
angles: 90.00 90.00 90.00
Closest atoms and distances in Å follow each position.
Sites, in units of the cell vectors:
Y  0.5000  0.5000  0.5000  8 Te 3.31
N  0.0000  0.0000  0.5000  2 V 1.86
Te  0.0000  0.5000  0.0000  2 V 2.73
Te  0.5000  0.0000  0.0000  2 V 2.73
V  0.0000  0.0000  0.0000  2 N 1.86

---

b:
DFT (PBE-GGA) results for a relaxed structure of YVTe2N.

Output
Magnetic moment: 3.131 μB per formula unit
DOS(E_F): 1.429 states/eV/atom
Mass density: 4.7 Mg/m³

abc: 5.9551 5.9551 4.0644
angles: 90.00 90.00 90.00
Closest atoms and distances in Å follow each position.
Sites, in units of the cell vectors:
Y  0.0000  0.0000  0.0000  2 N 2.03
N  0.0000  0.0000  0.5000  2 Y 2.03
Te  0.0000  0.5000  0.0000  2 Y 2.98
Te  0.5000  0.0000  0.0000  2 Y 2.98
V  0.5000  0.5000  0.5000  8 Te 3.60

---

Verdict on stability: b comes out at the bottom.

---

a:
DFT (PBE-GGA) results for a relaxed structure of VZnTeN2.

Output
Magnetic moment: 0.577 μB per formula unit
DOS(E_F): 1.333 states/eV/atom
Mass density: 5.4 Mg/m³

abc: 3.8588 3.8588 5.5840
angles: 90.00 90.00 90.00
Closest atoms and distances in Å follow each position.
Sites, in units of the cell vectors:
N  0.0000  0.5000  0.0000  2 Zn 1.93
N  0.5000  0.0000  0.0000  2 Zn 1.93
Zn  0.0000  0.0000  0.0000  4 N 1.93
Te  0.0000  0.0000  0.5000  4 V 2.73, 2 Zn 2.79
V  0.5000  0.5000  0.5000  4 Te 2.73

---

b:
DFT (PBE-GGA) results for a relaxed structure of VZnTeN2.

Output
Magnetic moment: 0.450 μB per formula unit
DOS(E_F): 0.368 states/eV/atom
Mass density: 5.5 Mg/m³

abc: 3.8011 3.8011 5.6745
angles: 90.00 90.00 90.00
Closest atoms and distances in Å follow each position.
Sites, in units of the cell vectors:
N  0.0000  0.5000  0.0000  2 V 1.90
N  0.5000  0.0000  0.0000  2 V 1.90
Zn  0.5000  0.5000  0.5000  4 Te 2.69
Te  0.0000  0.0000  0.5000  4 Zn 2.69, 2 V 2.84
V  0.0000  0.0000  0.0000  4 N 1.90

---

Verdict on stability: a comes out at the bottom.

---

a:
DFT (PBE-GGA) results for a relaxed structure of VZnTe2N.

Output
Magnetic moment: 0.542 μB per formula unit
DOS(E_F): 0.706 states/eV/atom
Mass density: 6.0 Mg/m³

abc: 5.4261 5.4261 3.6190
angles: 90.00 90.00 90.00
Closest atoms and distances in Å follow each position.
Sites, in units of the cell vectors:
N  0.0000  0.0000  0.5000  2 V 1.81
Zn  0.5000  0.5000  0.5000  8 Te 3.26, 2 Zn 3.62
Te  0.0000  0.5000  0.0000  2 V 2.71
Te  0.5000  0.0000  0.0000  2 V 2.71
V  0.0000  0.0000  0.0000  2 N 1.81

---

b:
DFT (PBE-GGA) results for a relaxed structure of VZnTe2N.

Output
Magnetic moment: 3.878 μB per formula unit
DOS(E_F): 1.032 states/eV/atom
Mass density: 5.9 Mg/m³

abc: 5.4948 5.4948 3.5944
angles: 90.00 90.00 90.00
Closest atoms and distances in Å follow each position.
Sites, in units of the cell vectors:
N  0.0000  0.0000  0.5000  2 Zn 1.80
Zn  0.0000  0.0000  0.0000  2 N 1.80
Te  0.0000  0.5000  0.0000  2 Zn 2.75
Te  0.5000  0.0000  0.0000  2 Zn 2.75
V  0.5000  0.5000  0.5000  8 Te 3.28, 2 V 3.59

---

Verdict on stability: b comes out at the bottom.